No. 1
The following is a DFT calculation (PBE) of crystalline Li2CePrTl4 at its relaxed geometry.

Final energy, Ha/atom: -0.1213
ΔH_f (0 K), meV per atom: -300
DOS(E_F), states/eV per atom: 0.896

abc: 5.3093 5.3093 25.9122
angles: 90.00 90.00 120.00
Space group R-3m (No. 166, hexagonal axes)
Inequivalent atoms, fractional coordinates:
Li: 0.0000 0.0000 0.2503
Ce: 0.0000 0.0000 0.5000
Pr: 0.0000 0.0000 0.0000
Tl: 0.0000 0.0000 0.1261
Tl: 0.0000 0.0000 0.3755


No. 2
The following is a DFT calculation (PBE) of crystalline LiCePrTl at its relaxed geometry.

Final energy, Ha/atom: -0.1408
ΔH_f (0 K), meV per atom: -83
DOS(E_F), states/eV per atom: 2.907

abc: 7.728 7.728 7.728
angles: 90.00 90.00 90.00
Space group F-43m (No. 216)
Inequivalent atoms, fractional coordinates:
Li: 0.000 0.000 0.000
Ce: 0.250 0.250 0.250
Pr: 0.250 0.250 0.750
Tl: 0.000 0.000 0.500


No. 3
The following is a DFT calculation (PBE) of crystalline LiCePrTm at its relaxed geometry.

Final energy, Ha/atom: -0.1465
ΔH_f (0 K), meV per atom: 288
DOS(E_F), states/eV per atom: 2.246

abc: 7.720 7.720 7.720
angles: 90.00 90.00 90.00
Space group F-43m (No. 216)
Inequivalent atoms, fractional coordinates:
Li: 0.000 0.000 0.000
Ce: 0.000 0.000 0.500
Pr: 0.250 0.250 0.250
Tm: 0.250 0.250 0.750


No. 4
The following is a DFT calculation (PBE) of crystalline LiCePt at its relaxed geometry.

Final energy, Ha/atom: -0.1977
Offset from the most stable computed form, kJ per mole of atoms: 0.0
ΔH_f (0 K), meV per atom: -750
DOS(E_F), states/eV per atom: 1.966

abc: 7.304 4.033 12.599
angles: 90.00 90.60 90.00
Space group P2_1/m (No. 11)
Inequivalent atoms, fractional coordinates:
Li: 0.012 0.250 0.080
Li: 0.123 0.750 0.538
Li: 0.378 0.250 0.199
Ce: 0.056 0.750 0.287
Ce: 0.330 0.250 0.919
Ce: 0.451 0.250 0.625
Pt: 0.240 0.750 0.752
Pt: 0.259 0.250 0.415
Pt: 0.259 0.750 0.081


No. 5
The following is a DFT calculation (PBE) of crystalline LiCe2Pt4 at its relaxed geometry.

Final energy, Ha/atom: -0.2247
Offset from the most stable computed form, kJ per mole of atoms: 4.9
ΔH_f (0 K), meV per atom: -693
DOS(E_F), states/eV per atom: 0.997

abc: 4.341 4.341 14.719
angles: 90.00 90.00 90.00
Space group I4/mmm (No. 139)
Inequivalent atoms, fractional coordinates:
Li: 0.000 0.000 0.000
Ce: 0.000 0.000 0.347
Pt: 0.000 0.000 0.158
Pt: 0.000 0.500 0.000


No. 6
The following is a DFT calculation (PBE) of crystalline Li3Ce4Pt4 at its relaxed geometry.

Final energy, Ha/atom: -0.1989
ΔH_f (0 K), meV per atom: -537
DOS(E_F), states/eV per atom: 2.272

abc: 4.007 7.743 16.860
angles: 90.00 90.00 90.00
Space group Immm (No. 71)
Inequivalent atoms, fractional coordinates:
Li: 0.000 0.000 0.000
Li: 0.000 0.500 0.066
Ce: 0.000 0.266 0.344
Pt: 0.000 0.000 0.218
Pt: 0.000 0.185 0.500


No. 7
The following is a DFT calculation (PBE) of crystalline LiCe2Pt4 at its relaxed geometry.

Final energy, Ha/atom: -0.2265
Offset from the most stable computed form, kJ per mole of atoms: 0.0
ΔH_f (0 K), meV per atom: -744
DOS(E_F), states/eV per atom: 1.659

abc: 6.187 6.187 7.907
angles: 90.00 90.00 90.00
Space group I4/mmm (No. 139)
Inequivalent atoms, fractional coordinates:
Li: 0.000 0.000 0.000
Ce: 0.000 0.500 0.250
Pt: 0.220 0.220 0.500


No. 8
The following is a DFT calculation (PBE) of crystalline Li3CePt3 at its relaxed geometry.

Final energy, Ha/atom: -0.1800
ΔH_f (0 K), meV per atom: -640
DOS(E_F), states/eV per atom: 0.652

abc: 7.680 7.680 7.680
angles: 90.00 90.00 90.00
Space group P2_13 (No. 198)
Inequivalent atoms, fractional coordinates:
Li: 0.138 0.362 0.638
Li: 0.146 0.146 0.146
Li: 0.193 0.807 0.307
Ce: 0.028 0.528 0.972
Pt: 0.056 0.678 0.627


No. 9
The following is a DFT calculation (PBE) of crystalline LiCePt at its relaxed geometry.

Final energy, Ha/atom: -0.1929
Offset from the most stable computed form, kJ per mole of atoms: 12.6
ΔH_f (0 K), meV per atom: -619
DOS(E_F), states/eV per atom: 2.160

abc: 4.3662 4.3662 3.7190
angles: 90.00 90.00 120.00
Space group P-6m2 (No. 187)
Inequivalent atoms, fractional coordinates:
Li: 0.0000 0.0000 0.0000
Ce: 0.3333 0.6667 0.5000
Pt: 0.6667 0.3333 0.0000


No. 10
The following is a DFT calculation (PBE) of crystalline Li2CePt at its relaxed geometry.

Final energy, Ha/atom: -0.1562
ΔH_f (0 K), meV per atom: -299
DOS(E_F), states/eV per atom: 1.536

abc: 6.502 6.502 6.502
angles: 90.00 90.00 90.00
Space group Fm-3m (No. 225)
Inequivalent atoms, fractional coordinates:
Li: 0.250 0.250 0.250
Ce: 0.000 0.000 0.000
Pt: 0.000 0.000 0.500


No. 11
The following is a DFT calculation (PBE) of crystalline Li2Ce3Pt4 at its relaxed geometry.

Final energy, Ha/atom: -0.2166
ΔH_f (0 K), meV per atom: -806
DOS(E_F), states/eV per atom: 1.823

abc: 11.283 9.950 7.034
angles: 90.00 102.52 90.00
Space group C2/c (No. 15)
Inequivalent atoms, fractional coordinates:
Li: 0.173 0.156 0.451
Ce: 0.000 0.095 0.750
Ce: 0.140 0.382 0.110
Pt: 0.100 0.344 0.652
Pt: 0.175 0.078 0.111


No. 12
The following is a DFT calculation (PBE) of crystalline LiCe2Pt9 at its relaxed geometry.

Final energy, Ha/atom: -0.2335
Offset from the most stable computed form, kJ per mole of atoms: 10.2
ΔH_f (0 K), meV per atom: -675
DOS(E_F), states/eV per atom: 1.427

abc: 5.4259 5.4259 26.6015
angles: 90.00 90.00 120.00
Space group R-3m (No. 166, hexagonal axes)
Inequivalent atoms, fractional coordinates:
Li: 0.0000 0.0000 0.0000
Ce: 0.0000 0.0000 0.1361
Pt: 0.0000 0.0000 0.3323
Pt: 0.0000 0.0000 0.5000
Pt: 0.0045 0.5022 0.9155


No. 13
The following is a DFT calculation (PBE) of crystalline Li3CePt2 at its relaxed geometry.

Final energy, Ha/atom: -0.1691
Offset from the most stable computed form, kJ per mole of atoms: 0.0
ΔH_f (0 K), meV per atom: -642
DOS(E_F), states/eV per atom: 1.053

abc: 13.882 4.028 8.893
angles: 90.00 122.80 90.00
Space group C2/m (No. 12)
Inequivalent atoms, fractional coordinates:
Li: 0.064 0.000 0.405
Li: 0.076 0.500 0.685
Li: 0.227 0.500 0.568
Ce: 0.129 0.000 0.008
Pt: 0.066 0.500 0.199
Pt: 0.208 0.000 0.756


No. 14
The following is a DFT calculation (PBE) of crystalline Li2CePt2 at its relaxed geometry.

Final energy, Ha/atom: -0.1875
ΔH_f (0 K), meV per atom: -735
DOS(E_F), states/eV per atom: 1.245

abc: 3.754 3.754 13.215
angles: 90.00 90.00 90.00
Space group I4/mmm (No. 139)
Inequivalent atoms, fractional coordinates:
Li: 0.000 0.500 0.250
Ce: 0.000 0.000 0.000
Pt: 0.000 0.000 0.394


No. 15
The following is a DFT calculation (PBE) of crystalline Li2Ce2Pt15 at its relaxed geometry.

Final energy, Ha/atom: -0.2272
ΔH_f (0 K), meV per atom: -587
DOS(E_F), states/eV per atom: 1.187

abc: 9.2607 9.2607 13.5013
angles: 90.00 90.00 120.00
Space group R-3m (No. 166, hexagonal axes)
Inequivalent atoms, fractional coordinates:
Li: 0.0000 0.0000 0.0950
Ce: 0.0000 0.0000 0.3442
Pt: 0.0000 0.3202 0.0000
Pt: 0.0000 0.5000 0.5000
Pt: 0.0014 0.5007 0.1609


No. 16
The following is a DFT calculation (PBE) of crystalline Li4Ce3Pt4 at its relaxed geometry.

Final energy, Ha/atom: -0.1926
Offset from the most stable computed form, kJ per mole of atoms: 0.0
ΔH_f (0 K), meV per atom: -730
DOS(E_F), states/eV per atom: 1.694

abc: 3.976 7.635 14.078
angles: 90.00 90.00 90.00
Space group Immm (No. 71)
Inequivalent atoms, fractional coordinates:
Li: 0.000 0.192 0.177
Ce: 0.000 0.000 0.376
Ce: 0.000 0.500 0.500
Pt: 0.000 0.301 0.000
Pt: 0.000 0.500 0.275


No. 17
The following is a DFT calculation (PBE) of crystalline LiCe2Pt2 at its relaxed geometry.

Final energy, Ha/atom: -0.2215
ΔH_f (0 K), meV per atom: -856
DOS(E_F), states/eV per atom: 2.119

abc: 7.747 7.747 3.811
angles: 90.00 90.00 90.00
Space group P4/mbm (No. 127)
Inequivalent atoms, fractional coordinates:
Li: 0.000 0.000 0.000
Ce: 0.165 0.335 0.500
Pt: 0.138 0.638 0.000


No. 18
The following is a DFT calculation (PBE) of crystalline LiCe2Pt9 at its relaxed geometry.

Final energy, Ha/atom: -0.2374
Offset from the most stable computed form, kJ per mole of atoms: 0.0
ΔH_f (0 K), meV per atom: -781
DOS(E_F), states/eV per atom: 0.787

abc: 4.109 4.109 12.100
angles: 90.00 90.00 90.00
Space group P4/mmm (No. 123)
Inequivalent atoms, fractional coordinates:
Li: 0.000 0.000 0.000
Ce: 0.000 0.000 0.322
Pt: 0.000 0.500 0.152
Pt: 0.000 0.500 0.500
Pt: 0.500 0.500 0.000
Pt: 0.500 0.500 0.327


No. 19
The following is a DFT calculation (PBE) of crystalline Li3Ce2Pt4 at its relaxed geometry.

Final energy, Ha/atom: -0.1995
ΔH_f (0 K), meV per atom: -787
DOS(E_F), states/eV per atom: 1.229

abc: 5.553 14.948 7.697
angles: 90.00 90.00 90.00
Space group Cmce (No. 64)
Inequivalent atoms, fractional coordinates:
Li: 0.000 0.000 0.000
Li: 0.250 0.216 0.250
Ce: 0.000 0.116 0.583
Pt: 0.000 0.178 0.961
Pt: 0.250 0.047 0.250


No. 20
The following is a DFT calculation (PBE) of crystalline LiCe5Pt5 at its relaxed geometry.

Final energy, Ha/atom: -0.2347
ΔH_f (0 K), meV per atom: -771
DOS(E_F), states/eV per atom: 2.567

abc: 12.923 5.720 7.987
angles: 90.00 108.56 90.00
Space group C2/m (No. 12)
Inequivalent atoms, fractional coordinates:
Li: 0.000 0.000 0.000
Ce: 0.000 0.000 0.500
Ce: 0.161 0.500 0.832
Ce: 0.180 0.500 0.328
Pt: 0.000 0.500 0.000
Pt: 0.156 0.000 0.844
Pt: 0.161 0.000 0.319


No. 21
The following is a DFT calculation (PBE) of crystalline Li4Ce3Pt4 at its relaxed geometry.

Final energy, Ha/atom: -0.1860
Offset from the most stable computed form, kJ per mole of atoms: 17.3
ΔH_f (0 K), meV per atom: -550
DOS(E_F), states/eV per atom: 2.142

abc: 7.475 7.475 7.475
angles: 90.00 90.00 90.00
Space group I-43m (No. 217)
Inequivalent atoms, fractional coordinates:
Li: 0.117 0.117 0.883
Ce: 0.000 0.000 0.500
Pt: 0.202 0.202 0.202